[1]
First-principles (PBE) data for K2BeRu after structural relaxation, as listed in Alexandria.

Values from the calculation:
The final energy comes out at -9.998 eV/f.u. The density of states at the Fermi level is 4.84 states/eV per cell. The crystal system is orthorhombic. The total magnetic moment is 0.00 Bohr magnetons per cell. As for the calculated volume: 21.64 A^3/atom.

Cell and atoms, written as POSCAR:
```
K2BeRu
1.0
5.551 0.000 0.000
0.000 10.957 0.000
0.000 0.000 2.846
K Be Ru
4 2 2
Direct
0.250 0.250 0.000
0.250 0.750 0.000
0.750 0.250 0.000
0.750 0.750 0.000
0.000 0.000 0.500
0.500 0.500 0.500
0.000 0.500 0.500
0.500 0.000 0.500
```

[2]
First-principles (PBE) data for KBeRu2 after structural relaxation, as listed in Alexandria.

Values from the calculation:
The final energy comes out at -20.880 eV/f.u. The density of states at the Fermi level is 11.22 states/eV per cell. The crystal system is trigonal. The total magnetic moment is 0.00 Bohr magnetons per cell. As for the calculated volume: 15.46 A^3/atom.

Cell and atoms, written as POSCAR:
```
KBeRu2
1.0
2.757 0.000 0.000
-1.379 2.388 0.000
0.000 0.000 28.172
K Be Ru
3 3 6
Direct
0.000 0.000 0.000
0.333 0.667 0.667
0.667 0.333 0.333
0.000 0.000 0.500
0.333 0.667 0.167
0.667 0.333 0.833
0.000 0.000 0.231
0.000 0.000 0.769
0.333 0.667 0.436
0.333 0.667 0.897
0.667 0.333 0.103
0.667 0.333 0.564
```

[3]
First-principles (PBE) data for K4BeRu after structural relaxation, as listed in Alexandria.

Values from the calculation:
The final energy comes out at -8.959 eV/f.u. The density of states at the Fermi level is 5.20 states/eV per cell. The crystal system is cubic. The total magnetic moment is 2.13 Bohr magnetons per cell. As for the calculated volume: 39.49 A^3/atom.

Cell and atoms, written as POSCAR:
```
K4BeRu
1.0
0.000 4.911 4.911
4.911 0.000 4.911
4.911 4.911 0.000
K Be Ru
4 1 1
Direct
0.124 0.124 0.124
0.124 0.124 0.627
0.124 0.627 0.124
0.627 0.124 0.124
0.500 0.500 0.500
0.750 0.750 0.750
```

Here are the calculated ΔH_f (0 K) numbers, same order: 1.300 0.624 1.406 (eV/atom).